Material: Rb2NbAg2S4
Method: DFT, PBE
State: optimized geometry

Unit cell a=7.5133 b=7.5133 c=5.9988 alpha=90.00 beta=90.00 gamma=132.84
Fractional coordinates of all 9 atoms:
Rb 0.0000 0.5000 0.2392
Rb 0.5000 0.0000 0.7608
Nb 0.0000 0.0000 0.5000
Ag 0.0000 0.0000 0.0000
Ag 0.5000 0.5000 0.5000
S 0.1127 0.3268 0.7205
S 0.3268 0.1127 0.2795
S 0.6732 0.8873 0.2795
S 0.8873 0.6732 0.7205

***

Material: RbNbAgTe2S
Method: DFT, PBE
State: optimized geometry

Unit cell a=8.4822 b=8.4822 c=10.3261 alpha=90.00 beta=90.00 gamma=152.55
Fractional coordinates of all 12 atoms:
Rb 0.2446 0.7554 0.7500
Rb 0.7554 0.2446 0.2500
Nb 0.5000 0.5000 0.0000
Nb 0.5000 0.5000 0.5000
Ag 0.0355 0.9645 0.2500
Ag 0.9645 0.0355 0.7500
Te 0.1240 0.8760 0.0297
Te 0.1240 0.8760 0.4703
Te 0.8760 0.1240 0.5297
Te 0.8760 0.1240 0.9703
S 0.4454 0.5546 0.2500
S 0.5546 0.4454 0.7500

***

Material: RbNbAgSe3
Method: DFT, PBE
State: optimized geometry

Unit cell a=8.0849 b=8.0849 c=10.3213 alpha=90.00 beta=90.00 gamma=152.57
Fractional coordinates of all 12 atoms:
Rb 0.2458 0.7542 0.7500
Rb 0.7542 0.2458 0.2500
Nb 0.0000 0.0000 0.0000
Nb 0.0000 0.0000 0.5000
Ag 0.4555 0.5445 0.2500
Ag 0.5445 0.4555 0.7500
Se 0.0687 0.9313 0.2500
Se 0.3815 0.6185 0.0302
Se 0.3815 0.6185 0.4698
Se 0.6185 0.3815 0.5302
Se 0.6185 0.3815 0.9698
Se 0.9313 0.0687 0.7500

***

Material: Rb2NbAg2Se4
Method: DFT, PBE
State: optimized geometry

Unit cell a=7.7345 b=7.7345 c=6.1691 alpha=90.00 beta=90.00 gamma=132.90
Fractional coordinates of all 9 atoms:
Rb 0.0000 0.5000 0.2406
Rb 0.5000 0.0000 0.7594
Nb 0.0000 0.0000 0.5000
Ag 0.0000 0.0000 0.0000
Ag 0.5000 0.5000 0.5000
Se 0.1144 0.3348 0.7252
Se 0.3348 0.1144 0.2748
Se 0.6652 0.8856 0.2748
Se 0.8856 0.6652 0.7252

***

Material: RbNbAgTeSe2
Method: DFT, PBE
State: optimized geometry

Unit cell a=8.4711 b=8.4711 c=10.7106 alpha=90.00 beta=90.00 gamma=153.88
Fractional coordinates of all 12 atoms:
Rb 0.2307 0.7693 0.7500
Rb 0.7693 0.2307 0.2500
Nb 0.0000 0.0000 0.0000
Nb 0.0000 0.0000 0.5000
Ag 0.4584 0.5416 0.2500
Ag 0.5416 0.4584 0.7500
Te 0.0796 0.9204 0.2500
Te 0.9204 0.0796 0.7500
Se 0.3886 0.6114 0.0359
Se 0.3886 0.6114 0.4641
Se 0.6114 0.3886 0.5359
Se 0.6114 0.3886 0.9641

***

Material: Rb2NbAg2Te4
Method: DFT, PBE
State: optimized geometry

Unit cell a=8.1703 b=8.1703 c=6.4802 alpha=90.00 beta=90.00 gamma=133.13
Fractional coordinates of all 9 atoms:
Rb 0.0000 0.5000 0.2446
Rb 0.5000 0.0000 0.7554
Nb 0.0000 0.0000 0.5000
Ag 0.0000 0.0000 0.0000
Ag 0.5000 0.5000 0.5000
Te 0.1244 0.3448 0.7348
Te 0.3448 0.1244 0.2652
Te 0.6552 0.8756 0.2652
Te 0.8756 0.6552 0.7348

***

Material: NbAg3S4
Method: DFT, PBE
State: optimized geometry

E above lowest polymorph ... 147 meV/atom

Unit cell a=6.8176 b=6.8176 c=6.8176 alpha=90.00 beta=90.00 gamma=90.00
Fractional coordinates of all 16 atoms:
Nb 0.0000 0.0000 0.0000
Nb 0.5000 0.5000 0.5000
Ag 0.0000 0.0000 0.5000
Ag 0.0000 0.5000 0.0000
Ag 0.0000 0.5000 0.5000
Ag 0.5000 0.0000 0.0000
Ag 0.5000 0.0000 0.5000
Ag 0.5000 0.5000 0.0000
S 0.1964 0.1964 0.8036
S 0.1964 0.8036 0.1964
S 0.3036 0.3036 0.3036
S 0.3036 0.6964 0.6964
S 0.6964 0.3036 0.6964
S 0.6964 0.6964 0.3036
S 0.8036 0.1964 0.1964
S 0.8036 0.8036 0.8036

***

Material: NbAg3S3
Method: DFT, PBE
State: optimized geometry

Unit cell a=6.7356 b=6.7356 c=6.7356 alpha=97.19 beta=97.19 gamma=97.19
Fractional coordinates of all 14 atoms:
Nb 0.0000 0.0000 0.0000
Nb 0.5000 0.5000 0.5000
Ag 0.0696 0.2869 0.3989
Ag 0.2869 0.3989 0.0696
Ag 0.3989 0.0696 0.2869
Ag 0.5696 0.8989 0.7869
Ag 0.7869 0.5696 0.8989
Ag 0.8989 0.7869 0.5696
S 0.0411 0.7625 0.2118
S 0.2118 0.0411 0.7625
S 0.2625 0.5411 0.7118
S 0.5411 0.7118 0.2625
S 0.7118 0.2625 0.5411
S 0.7625 0.2118 0.0411

***

Material: Nb3AgS5
Method: DFT, PBE
State: optimized geometry

E above lowest polymorph ... 0 meV/atom

Unit cell a=6.2649 b=6.2649 c=17.6537 alpha=100.64 beta=100.64 gamma=30.33
Fractional coordinates of all 18 atoms:
Nb 0.0490 0.0490 0.2995
Nb 0.2516 0.2516 0.6332
Nb 0.3161 0.3161 0.0717
Nb 0.6839 0.6839 0.9283
Nb 0.7484 0.7484 0.3668
Nb 0.9510 0.9510 0.7005
Ag 0.0000 0.0000 0.0000
Ag 0.5000 0.5000 0.5000
S 0.0841 0.0841 0.8366
S 0.1536 0.1536 0.4361
S 0.3373 0.3373 0.9343
S 0.3470 0.3470 0.7634
S 0.4091 0.4091 0.3558
S 0.5909 0.5909 0.6442
S 0.6530 0.6530 0.2366
S 0.6627 0.6627 0.0657
S 0.8464 0.8464 0.5639
S 0.9159 0.9159 0.1634

***

Material: Nb3AgS5
Method: DFT, PBE
State: optimized geometry

E above lowest polymorph ... 289 meV/atom

Unit cell a=5.6561 b=5.6561 c=7.1225 alpha=90.00 beta=90.00 gamma=120.00
Fractional coordinates of all 9 atoms:
Nb 0.0000 0.5000 0.0000
Nb 0.5000 0.0000 0.0000
Nb 0.5000 0.5000 0.0000
Ag 0.0000 0.0000 0.5000
S 0.0000 0.0000 0.0000
S 0.3333 0.6667 0.2661
S 0.3333 0.6667 0.7339
S 0.6667 0.3333 0.2661
S 0.6667 0.3333 0.7339

***

Material: Nb2AgSe2S4
Method: DFT, PBE
State: optimized geometry

Unit cell a=6.7846 b=6.7846 c=10.6399 alpha=116.97 beta=116.97 gamma=28.19
Fractional coordinates of all 9 atoms:
Nb 0.1824 0.1824 0.2985
Nb 0.8176 0.8176 0.7015
Ag 0.5000 0.5000 0.0000
Se 0.4882 0.4882 0.7467
Se 0.5118 0.5118 0.2533
S 0.1712 0.1712 0.5386
S 0.2878 0.2878 0.8557
S 0.7122 0.7122 0.1443
S 0.8288 0.8288 0.4614

***

Material: Nb2AgSe4S2
Method: DFT, PBE
State: optimized geometry

Unit cell a=6.8691 b=6.8691 c=10.8402 alpha=116.96 beta=116.96 gamma=28.19
Fractional coordinates of all 9 atoms:
Nb 0.1772 0.1772 0.2899
Nb 0.8228 0.8228 0.7101
Ag 0.5000 0.5000 0.0000
Se 0.1638 0.1638 0.5372
Se 0.4882 0.4882 0.7504
Se 0.5118 0.5118 0.2496
Se 0.8362 0.8362 0.4628
S 0.2900 0.2900 0.8563
S 0.7100 0.7100 0.1437

***

Material: NbAg3Se2S2
Method: DFT, PBE
State: optimized geometry

Unit cell a=8.5562 b=8.8830 c=6.1683 alpha=90.00 beta=90.00 gamma=90.00
Fractional coordinates of all 16 atoms:
Nb 0.0000 0.0000 0.0000
Nb 0.5000 0.5000 0.0000
Ag 0.0000 0.0000 0.4982
Ag 0.2500 0.2500 0.0045
Ag 0.2500 0.7500 0.0045
Ag 0.5000 0.5000 0.4982
Ag 0.7500 0.2500 0.0045
Ag 0.7500 0.7500 0.0045
Se 0.2399 0.0000 0.7673
Se 0.2601 0.5000 0.7673
Se 0.7399 0.5000 0.7673
Se 0.7601 0.0000 0.7673
S 0.0000 0.2152 0.2213
S 0.0000 0.7848 0.2213
S 0.5000 0.2848 0.2213
S 0.5000 0.7152 0.2213

***

Material: NbTlAgSeS2
Method: DFT, PBE
State: optimized geometry

Unit cell a=7.8147 b=7.8147 c=10.2498 alpha=90.00 beta=90.00 gamma=153.61
Fractional coordinates of all 12 atoms:
Nb 0.0000 0.0000 0.0000
Nb 0.0000 0.0000 0.5000
Tl 0.2546 0.7454 0.7500
Tl 0.7454 0.2546 0.2500
Ag 0.4369 0.5631 0.2500
Ag 0.5631 0.4369 0.7500
Se 0.0704 0.9296 0.2500
Se 0.9296 0.0704 0.7500
S 0.3840 0.6160 0.0259
S 0.3840 0.6160 0.4741
S 0.6160 0.3840 0.5259
S 0.6160 0.3840 0.9741

***

Material: Nb2AgSnS4
Method: DFT, PBE
State: optimized geometry

Unit cell a=3.3565 b=3.3565 c=16.7124 alpha=90.00 beta=90.00 gamma=120.00
Fractional coordinates of all 8 atoms:
Nb 0.3333 0.6667 0.2624
Nb 0.6667 0.3333 0.7376
Ag 0.0000 0.0000 0.5000
Sn 0.0000 0.0000 0.0000
S 0.0000 0.0000 0.1691
S 0.0000 0.0000 0.3555
S 0.0000 0.0000 0.6445
S 0.0000 0.0000 0.8309

***

Material: SrNbAgS3
Method: DFT, PBE
State: optimized geometry

Unit cell a=8.5676 b=8.5676 c=8.1889 alpha=99.56 beta=99.56 gamma=24.83
Fractional coordinates of all 12 atoms:
Sr 0.1340 0.1340 0.0859
Sr 0.8660 0.8660 0.9141
Nb 0.1569 0.1569 0.5906
Nb 0.8431 0.8431 0.4094
Ag 0.4621 0.4621 0.2783
Ag 0.5379 0.5379 0.7217
S 0.0000 0.0000 0.5000
S 0.3106 0.3106 0.1862
S 0.3187 0.3187 0.6150
S 0.5000 0.5000 0.0000
S 0.6813 0.6813 0.3850
S 0.6894 0.6894 0.8138

***

Material: NbAg3Te2S2
Method: DFT, PBE
State: optimized geometry

Unit cell a=8.5350 b=9.1790 c=6.2514 alpha=90.00 beta=90.00 gamma=90.00
Fractional coordinates of all 16 atoms:
Nb 0.0000 0.0000 0.0000
Nb 0.5000 0.5000 0.0000
Ag 0.0000 0.0000 0.4969
Ag 0.2500 0.2500 0.0020
Ag 0.2500 0.7500 0.0020
Ag 0.5000 0.5000 0.4969
Ag 0.7500 0.2500 0.0020
Ag 0.7500 0.7500 0.0020
Te 0.2362 0.5000 0.7506
Te 0.2638 0.0000 0.7506
Te 0.7362 0.0000 0.7506
Te 0.7638 0.5000 0.7506
S 0.0000 0.2071 0.2170
S 0.0000 0.7929 0.2170
S 0.5000 0.2929 0.2170
S 0.5000 0.7071 0.2170

***

Material: NbTlAgTeS2
Method: DFT, PBE
State: optimized geometry

Unit cell a=8.2688 b=8.2688 c=10.5913 alpha=90.00 beta=90.00 gamma=155.33
Fractional coordinates of all 12 atoms:
Nb 0.0000 0.0000 0.0000
Nb 0.0000 0.0000 0.5000
Tl 0.2295 0.7705 0.7500
Tl 0.7705 0.2295 0.2500
Ag 0.4464 0.5536 0.2500
Ag 0.5536 0.4464 0.7500
Te 0.0853 0.9147 0.2500
Te 0.9147 0.0853 0.7500
S 0.3914 0.6086 0.0349
S 0.3914 0.6086 0.4651
S 0.6086 0.3914 0.5349
S 0.6086 0.3914 0.9651

***

Material: NbTlAgS3
Method: DFT, PBE
State: optimized geometry

Unit cell a=7.5299 b=7.5299 c=10.0227 alpha=90.00 beta=90.00 gamma=152.58
Fractional coordinates of all 12 atoms:
Nb 0.0000 0.0000 0.0000
Nb 0.0000 0.0000 0.5000
Tl 0.2669 0.7331 0.7500
Tl 0.7331 0.2669 0.2500
Ag 0.4317 0.5683 0.2500
Ag 0.5683 0.4317 0.7500
S 0.0603 0.9397 0.2500
S 0.3781 0.6219 0.0205
S 0.3781 0.6219 0.4795
S 0.6219 0.3781 0.5205
S 0.6219 0.3781 0.9795
S 0.9397 0.0603 0.7500

***

Material: NbAg2Sb
Method: DFT, PBE
State: optimized geometry

Unit cell a=6.7276 b=6.7276 c=6.7276 alpha=90.00 beta=90.00 gamma=90.00
Fractional coordinates of all 16 atoms:
Nb 0.0000 0.0000 0.0000
Nb 0.0000 0.5000 0.5000
Nb 0.5000 0.0000 0.5000
Nb 0.5000 0.5000 0.0000
Ag 0.0000 0.0000 0.5000
Ag 0.0000 0.5000 0.0000
Ag 0.2500 0.2500 0.2500
Ag 0.2500 0.7500 0.7500
Ag 0.5000 0.0000 0.0000
Ag 0.5000 0.5000 0.5000
Ag 0.7500 0.2500 0.7500
Ag 0.7500 0.7500 0.2500
Sb 0.2500 0.2500 0.7500
Sb 0.2500 0.7500 0.2500
Sb 0.7500 0.2500 0.2500
Sb 0.7500 0.7500 0.7500

***

| no. | E_tot (eV/cell) | spin magnetization (μB/cell) |
| --- | --- | --- |
| 1 | -41.1 | 0.99 |
| 2 | -54.1 | 1.56 |
| 3 | -56.4 | 1.49 |
| 4 | -38.2 | 0.92 |
| 5 | -54.8 | 1.60 |
| 6 | -35.1 | 1.00 |
| 7 | -74.7 | 0.00 |
| 8 | -65.0 | 0.00 |
| 9 | -120.3 | 0.29 |
| 10 | -57.6 | 0.00 |
| 11 | -52.1 | 0.04 |
| 12 | -50.6 | 0.03 |
| 13 | -75.0 | 0.00 |
| 14 | -59.5 | 0.21 |
| 15 | -50.2 | 0.01 |
| 16 | -65.6 | 0.25 |
| 17 | -72.3 | 0.00 |
| 18 | -58.0 | 0.13 |
| 19 | -61.0 | 0.77 |
| 20 | -75.1 | 3.96 |